No. 1
# YAgPt2 (GGA-PBE, optimized geometry)
data_YAgPt2
_chemical_formula_sum 'Y1 Ag1 Pt2'
_cell_length_a 3.670
_cell_length_b 3.670
_cell_length_c 5.736
_cell_angle_alpha 90.00
_cell_angle_beta 90.00
_cell_angle_gamma 90.00
_space_group_name_H-M_alt 'P 4 m m'
_space_group_IT_number 99
loop_
_space_group_symop_operation_xyz
'x,y,z'
'-y,x,z'
'-x,-y,z'
'y,-x,z'
'-x,y,z'
'y,x,z'
'x,-y,z'
'-y,-x,z'
loop_
_atom_site_label
_atom_site_type_symbol
_atom_site_fract_x
_atom_site_fract_y
_atom_site_fract_z
Y1 Y 0.000 0.000 0.000
Ag1 Ag 0.500 0.500 0.295
Pt1 Pt 0.000 0.000 0.506
Pt2 Pt 0.500 0.500 0.778
# DFT formation energy: -0.544 eV per atom
# uncorrected energy: -23.57 eV per cell


No. 2
# CaLa2PaP4 (GGA-PBE, optimized geometry)
data_CaLa2PaP4
_chemical_formula_sum 'Ca1 La2 Pa1 P4'
_cell_length_a 7.153
_cell_length_b 4.167
_cell_length_c 7.201
_cell_angle_alpha 90.00
_cell_angle_beta 109.31
_cell_angle_gamma 90.00
_space_group_name_H-M_alt 'P 1 2/m 1'
_space_group_IT_number 10
loop_
_space_group_symop_operation_xyz
'x,y,z'
'-x,-y,-z'
'-x,y,-z'
'x,-y,z'
loop_
_atom_site_label
_atom_site_type_symbol
_atom_site_fract_x
_atom_site_fract_y
_atom_site_fract_z
Ca1 Ca 0.000 0.000 0.000
La1 La 0.000 0.500 0.500
La2 La 0.500 0.000 0.500
Pa1 Pa 0.500 0.500 0.000
P1 P 0.262 0.500 0.235
P2 P 0.266 0.000 0.769
# DFT formation energy: -1.405 eV per atom
# uncorrected energy: -54.24 eV per cell


No. 3
# KAsOs2 (GGA-PBE, optimized geometry)
data_KAsOs2
_chemical_formula_sum 'K1 As1 Os2'
_cell_length_a 2.830
_cell_length_b 3.963
_cell_length_c 7.611
_cell_angle_alpha 90.00
_cell_angle_beta 100.64
_cell_angle_gamma 90.00
_space_group_name_H-M_alt 'P 1 m 1'
_space_group_IT_number 6
loop_
_space_group_symop_operation_xyz
'x,y,z'
'x,-y,z'
loop_
_atom_site_label
_atom_site_type_symbol
_atom_site_fract_x
_atom_site_fract_y
_atom_site_fract_z
K1 K 0.000 0.000 0.000
As1 As 0.346 0.500 0.689
Os1 Os 0.242 0.000 0.476
Os2 Os 0.683 0.500 0.357
# DFT formation energy: 0.460 eV per atom
# uncorrected energy: -26.37 eV per cell


No. 4
# Y5HoAl3 (GGA-PBE, optimized geometry)
data_Y5HoAl3
_chemical_formula_sum 'Y10 Ho2 Al6'
_cell_length_a 9.0967
_cell_length_b 9.0967
_cell_length_c 6.6488
_cell_angle_alpha 90.00
_cell_angle_beta 90.00
_cell_angle_gamma 120.00
_space_group_name_H-M_alt 'P 63/m c m'
_space_group_IT_number 193
_space_group_name_Hall '-P 6c 2'
loop_
_atom_site_label
_atom_site_type_symbol
_atom_site_fract_x
_atom_site_fract_y
_atom_site_fract_z
Y1 Y 0.0000 0.3317 0.2500
Y2 Y 0.3333 0.6667 0.0000
Ho1 Ho 0.0000 0.0000 0.0000
Al1 Al 0.0000 0.3345 0.7500
# DFT formation energy: -0.293 eV per atom
# uncorrected energy: -101.52 eV per cell


No. 5
# Ca5NdHg6 (GGA-PBE, optimized geometry)
data_Ca5NdHg6
_chemical_formula_sum 'Ca10 Nd2 Hg12'
_cell_length_a 5.369
_cell_length_b 16.059
_cell_length_c 7.620
_cell_angle_alpha 90.00
_cell_angle_beta 90.00
_cell_angle_gamma 90.00
_space_group_name_H-M_alt 'C m m m'
_space_group_IT_number 65
_space_group_name_Hall '-C 2 2'
loop_
_atom_site_label
_atom_site_type_symbol
_atom_site_fract_x
_atom_site_fract_y
_atom_site_fract_z
Ca1 Ca 0.000 0.000 0.000
Ca2 Ca 0.000 0.332 0.500
Ca3 Ca 0.000 0.334 0.000
Nd1 Nd 0.000 0.000 0.500
Hg1 Hg 0.000 0.166 0.251
Hg2 Hg 0.000 0.500 0.252
# DFT formation energy: -0.551 eV per atom
# uncorrected energy: -46.40 eV per cell


No. 6
# CsRbTl2 (GGA-PBE, optimized geometry)
data_CsRbTl2
_chemical_formula_sum 'Cs3 Rb3 Tl6'
_cell_length_a 4.1610
_cell_length_b 4.1610
_cell_length_c 37.5277
_cell_angle_alpha 90.00
_cell_angle_beta 90.00
_cell_angle_gamma 120.00
_space_group_name_H-M_alt 'R -3 m'
_space_group_IT_number 166
_space_group_name_Hall '-R 3 2"'
loop_
_atom_site_label
_atom_site_type_symbol
_atom_site_fract_x
_atom_site_fract_y
_atom_site_fract_z
Cs1 Cs 0.0000 0.0000 0.0000
Rb1 Rb 0.0000 0.0000 0.5000
Tl1 Tl 0.0000 0.0000 0.2491
# offset from the most stable computed form: 0.800 eV/f.u.
# DFT formation energy: 0.137 eV per atom
# uncorrected energy: -18.02 eV per cell


No. 7
# Co3Br (GGA-PBE, optimized geometry)
data_Co3Br
_chemical_formula_sum 'Co3 Br1'
_cell_length_a 2.939
_cell_length_b 3.123
_cell_length_c 6.620
_cell_angle_alpha 90.00
_cell_angle_beta 90.00
_cell_angle_gamma 90.00
_space_group_name_H-M_alt 'P m m m'
_space_group_IT_number 47
loop_
_space_group_symop_operation_xyz
'x,y,z'
'-x,-y,-z'
'-x,-y,z'
'x,y,-z'
'x,-y,-z'
'-x,y,z'
'-x,y,-z'
'x,-y,z'
loop_
_atom_site_label
_atom_site_type_symbol
_atom_site_fract_x
_atom_site_fract_y
_atom_site_fract_z
Co1 Co 0.000 0.000 0.000
Co2 Co 0.500 0.500 0.184
Br1 Br 0.000 0.500 0.500
# formation energy (no corrections): 1.8 eV/f.u.
# offset from the most stable computed form: 0.502 eV/f.u.
# uncorrected energy: -21.23 eV per cell


No. 8
# NaPuHg2O6 (GGA-PBE, optimized geometry)
data_NaPuHg2O6
_chemical_formula_sum 'Na3 Pu3 Hg6 O18'
_cell_length_a 5.8698
_cell_length_b 5.8698
_cell_length_c 14.8807
_cell_angle_alpha 90.00
_cell_angle_beta 90.00
_cell_angle_gamma 120.00
_space_group_name_H-M_alt 'R -3'
_space_group_IT_number 148
_space_group_name_Hall '-R 3'
loop_
_atom_site_label
_atom_site_type_symbol
_atom_site_fract_x
_atom_site_fract_y
_atom_site_fract_z
Na1 Na 0.0000 0.0000 0.0000
Pu1 Pu 0.0000 0.0000 0.5000
Hg1 Hg 0.0000 0.0000 0.2653
O1 O 0.0194 0.2891 0.5800
# formation energy (no corrections): -13.7 eV/f.u.
# uncorrected energy: -179.06 eV per cell


No. 9
# TlAg3Sn (GGA-PBE, optimized geometry)
data_TlAg3Sn
_chemical_formula_sum 'Tl1 Ag3 Sn1'
_cell_length_a 5.282
_cell_length_b 5.282
_cell_length_c 5.282
_cell_angle_alpha 90.00
_cell_angle_beta 90.00
_cell_angle_gamma 90.00
_space_group_name_H-M_alt 'P m -3 m'
_space_group_IT_number 221
_space_group_name_Hall '-P 4 2 3'
loop_
_atom_site_label
_atom_site_type_symbol
_atom_site_fract_x
_atom_site_fract_y
_atom_site_fract_z
Tl1 Tl 0.000 0.000 0.000
Ag1 Ag 0.000 0.500 0.500
Sn1 Sn 0.500 0.500 0.500
# offset from the most stable computed form: 0.000 eV/f.u.
# DFT formation energy: 0.309 eV per atom
# uncorrected energy: -13.38 eV per cell


> What is the formula in the second record?

CaLa2PaP4